1.
Crystalline Zr3Tc at its relaxed geometry. Source: Alexandria, functional PBE.

CIF file:
```
data_Zr3Tc
_cell_length_a 5.059
_cell_length_b 5.475
_cell_length_c 5.864
_cell_angle_alpha 90.00
_cell_angle_beta 90.00
_cell_angle_gamma 90.00
_space_group_name_H-M_alt 'P m m n'
_space_group_IT_number 59
loop_
_space_group_symop_operation_xyz
'x,y,z'
'-x,-y,-z'
'-x+1/2,-y+1/2,z'
'x+1/2,y+1/2,-z'
'x+1/2,-y,-z'
'-x+1/2,y,z'
'-x,y+1/2,-z'
'x,-y+1/2,z'
loop_
_atom_site_label
_atom_site_type_symbol
_atom_site_fract_x
_atom_site_fract_y
_atom_site_fract_z
Zr1 Zr 0.250 0.004 0.139
Zr2 Zr 0.250 0.250 0.621
Tc1 Tc 0.250 0.750 0.641
```

=====

2.
Crystalline Zr5Tc4 at its relaxed geometry. Source: Alexandria, functional PBE.

CIF file:
```
data_Zr5Tc4
_cell_length_a 10.169
_cell_length_b 10.169
_cell_length_c 3.201
_cell_angle_alpha 90.00
_cell_angle_beta 90.00
_cell_angle_gamma 90.00
_space_group_name_H-M_alt 'I 4/m m m'
_space_group_IT_number 139
_space_group_name_Hall '-I 4 2'
loop_
_atom_site_label
_atom_site_type_symbol
_atom_site_fract_x
_atom_site_fract_y
_atom_site_fract_z
Zr1 Zr 0.000 0.000 0.000
Zr2 Zr 0.169 0.169 0.500
Tc1 Tc 0.000 0.348 0.000
```

=====

3.
Crystalline Zr3Tc at its relaxed geometry. Source: Alexandria, functional PBE.

CIF file:
```
data_Zr3Tc
_cell_length_a 5.452
_cell_length_b 5.452
_cell_length_c 5.452
_cell_angle_alpha 90.00
_cell_angle_beta 90.00
_cell_angle_gamma 90.00
_space_group_name_H-M_alt 'P m -3 n'
_space_group_IT_number 223
_space_group_name_Hall '-P 4n 2 3'
loop_
_atom_site_label
_atom_site_type_symbol
_atom_site_fract_x
_atom_site_fract_y
_atom_site_fract_z
Zr1 Zr 0.000 0.250 0.500
Tc1 Tc 0.000 0.000 0.000
```

=====

4.
Crystalline Zr4Tc at its relaxed geometry. Source: Alexandria, functional PBE.

CIF file:
```
data_Zr4Tc
_cell_length_a 5.009
_cell_length_b 5.009
_cell_length_c 5.009
_cell_angle_alpha 90.00
_cell_angle_beta 90.00
_cell_angle_gamma 90.00
_space_group_name_H-M_alt 'P m -3 m'
_space_group_IT_number 221
_space_group_name_Hall '-P 4 2 3'
loop_
_atom_site_label
_atom_site_type_symbol
_atom_site_fract_x
_atom_site_fract_y
_atom_site_fract_z
Zr1 Zr 0.000 0.000 0.000
Zr2 Zr 0.000 0.500 0.500
Tc1 Tc 0.500 0.500 0.500
```

=====

5.
Crystalline Zr3Tc at its relaxed geometry. Source: Alexandria, functional PBE.

CIF file:
```
data_Zr3Tc
_cell_length_a 4.017
_cell_length_b 4.017
_cell_length_c 20.170
_cell_angle_alpha 90.00
_cell_angle_beta 90.00
_cell_angle_gamma 90.00
_space_group_name_H-M_alt 'I 4/m m m'
_space_group_IT_number 139
_space_group_name_Hall '-I 4 2'
loop_
_atom_site_label
_atom_site_type_symbol
_atom_site_fract_x
_atom_site_fract_y
_atom_site_fract_z
Zr1 Zr 0.000 0.000 0.125
Zr2 Zr 0.000 0.500 0.000
Zr3 Zr 0.000 0.500 0.250
Tc1 Tc 0.000 0.000 0.378
```

=====

6.
Crystalline Zr4Tc at its relaxed geometry. Source: Alexandria, functional PBE.

CIF file:
```
data_Zr4Tc
_cell_length_a 3.683
_cell_length_b 3.683
_cell_length_c 16.852
_cell_angle_alpha 90.00
_cell_angle_beta 90.00
_cell_angle_gamma 90.00
_space_group_name_H-M_alt 'I 4/m m m'
_space_group_IT_number 139
_space_group_name_Hall '-I 4 2'
loop_
_atom_site_label
_atom_site_type_symbol
_atom_site_fract_x
_atom_site_fract_y
_atom_site_fract_z
Zr1 Zr 0.000 0.000 0.085
Zr2 Zr 0.000 0.500 0.250
Tc1 Tc 0.000 0.000 0.500
```

=====

no.,DFT total energy (eV per cell)
1,-71.7
2,-168.0
3,-72.1
4,-42.3
5,-143.3
6,-82.4